Here is crystalline LiCr2Cl at its relaxed geometry from Alexandria via LeMat-Bulk. Energies are from PBE.

Unit cell a=3.173 b=3.173 c=7.380 alpha=90.00 beta=90.00 gamma=90.00
Positions (direct):
Cr1 0.500 0.500 0.261
Cr2 0.000 0.000 0.114
Cl1 0.500 0.500 0.605
Li1 0.000 0.000 0.519

Results
For the offset from the most stable computed form, the calculation gives 0.008 eV/atom. Its crystal system is tetragonal. As for the total magnetic moment: 0.10 μB per cell. The value obtained for the formation energy (no corrections) is -0.7 eV/f.u.

---

Here is crystalline LiCrCl at its relaxed geometry from Alexandria via LeMat-Bulk. Energies are from PBE.

Unit cell a=4.461 b=4.461 c=4.461 alpha=60.00 beta=60.00 gamma=60.00
Positions (direct):
Li1 0.500 0.500 0.500
Cl1 0.750 0.750 0.750
Cr1 0.000 0.000 0.000

Results
For the offset from the most stable computed form, the calculation gives 0.293 eV/atom. Its crystal system is cubic. As for the total magnetic moment: 5.11 μB per cell. The value obtained for the formation energy (no corrections) is 0.4 eV/f.u.

---

Here is crystalline LiCr2Cl at its relaxed geometry from Alexandria via LeMat-Bulk. Energies are from PBE.

Unit cell a=3.147 b=3.194 c=6.546 alpha=75.90 beta=90.00 gamma=90.00
Positions (direct):
Cl1 0.500 0.984 0.657
Cr1 0.000 0.778 0.068
Li1 0.000 0.546 0.534
Cr2 0.500 0.192 0.241

Results
For the offset from the most stable computed form, the calculation gives 0.000 eV/atom. Its crystal system is orthorhombic. As for the total magnetic moment: 0.04 μB per cell. The value obtained for the formation energy (no corrections) is -0.7 eV/f.u.

---

Here is crystalline LiCr3Cl at its relaxed geometry from Alexandria via LeMat-Bulk. Energies are from PBE.

Unit cell a=4.762 b=4.762 c=4.762 alpha=90.00 beta=90.00 gamma=90.00
Positions (direct):
Cr1 0.000 0.500 0.000
Cr2 0.000 0.000 0.500
Cr3 0.500 0.000 0.000
Cl1 0.500 0.500 0.500
Li1 0.000 0.000 0.000

Results
For the offset from the most stable computed form, the calculation gives 0.397 eV/atom. Its crystal system is cubic. As for the total magnetic moment: 13.92 μB per cell. The value obtained for the formation energy (no corrections) is 6.7 eV/f.u.

---

Here is crystalline LiCr2Cl at its relaxed geometry from Alexandria via LeMat-Bulk. Energies are from PBE.

Unit cell a=7.241 b=7.241 c=5.539 alpha=49.18 beta=49.18 gamma=90.00
Positions (direct):
Li1 0.250 0.750 0.500
Cl1 0.000 0.000 0.000
Cl2 0.750 0.250 0.500
Cr1 0.046 0.625 0.250
Cr2 0.375 0.296 0.750
Cr3 0.704 0.125 0.250
Cr4 0.875 0.954 0.750
Li2 0.500 0.500 0.000

Results
For the offset from the most stable computed form, the calculation gives 0.904 eV/atom. Its crystal system is tetragonal. As for the total magnetic moment: 0.00 μB per cell. The value obtained for the formation energy (no corrections) is 2.9 eV/f.u.

---

Here is crystalline LiCr2Cl at its relaxed geometry from Alexandria via LeMat-Bulk. Energies are from PBE.

Unit cell a=4.612 b=4.612 c=4.612 alpha=119.91 beta=119.91 gamma=90.16
Positions (direct):
Cl1 0.750 0.250 0.500
Cr1 0.250 0.750 0.500
Li1 0.500 0.500 0.000
Cr2 0.000 0.000 0.000

Results
For the offset from the most stable computed form, the calculation gives 0.631 eV/atom. Its crystal system is tetragonal. As for the total magnetic moment: 0.20 μB per cell. The value obtained for the formation energy (no corrections) is 1.8 eV/f.u.

---

Which of these has the lowest total magnetic moment? number 5

---

What is the formula in the sixth record? LiCr2Cl

---

Repeat the sixth record exactly.
Here is crystalline LiCr2Cl at its relaxed geometry from Alexandria via LeMat-Bulk. Energies are from PBE.

Unit cell a=4.612 b=4.612 c=4.612 alpha=119.91 beta=119.91 gamma=90.16
Positions (direct):
Cl1 0.750 0.250 0.500
Cr1 0.250 0.750 0.500
Li1 0.500 0.500 0.000
Cr2 0.000 0.000 0.000

Results
For the offset from the most stable computed form, the calculation gives 0.631 eV/atom. Its crystal system is tetragonal. As for the total magnetic moment: 0.20 μB per cell. The value obtained for the formation energy (no corrections) is 1.8 eV/f.u.

---

Which value of total magnetic moment does entry 1 give? 0.10 μB per cell